# Ce2Ga2Co

An optimized crystal structure of Ce2Ga2Co (GGA-PBE, the Alexandria database).

Cell and atoms, written as extended XYZ:
```
10
Lattice="5.769 -1.756 0.000 5.769 1.756 0.000 -5.614 0.000 10.408" Properties=species:S:1:pos:R:3 pbc="T T T"
Ce -0.986 0.000 3.724
Ce 1.929 0.000 1.158
Ce 3.995 0.000 9.251
Ce 6.909 0.000 6.684
Ga 2.173 0.000 4.211
Ga 5.068 0.000 1.143
Ga 0.855 0.000 9.266
Ga 3.750 0.000 6.198
Co -0.848 0.000 7.443
Co 6.771 0.000 2.965
```

- Total moment: 0.8 Bohr magnetons per cell
- Formation energy: -0.468 eV/atom
- Total energy: -54.74 eV per cell